SrCdIr2 | the Alexandria database | PBE | relaxed; energy of formation = 0.11 eV per atom
1.0
3.9069 0.0000 0.0000
0.0000 2.9271 0.2473
0.0000 2.2722 7.7718
Cd Ir Sr
1 2 1
direct
0.5000 0.7003 0.7995
0.0000 0.9423 0.0579
0.5000 0.3271 0.1741
0.0000 0.5304 0.4685

SrCdIr2 | the Alexandria database | PBE | relaxed; energy of formation = 0.24 eV per atom
1.0
5.0045 0.0039 -0.0188
4.0775 2.9015 -0.0188
0.9997 0.3198 5.7678
Cd Ir Sr
1 2 1
direct
0.2500 0.2500 0.2500
0.9927 0.9927 0.0694
0.5073 0.5073 0.4306
0.7500 0.7500 0.7500

SrCdIr | the Alexandria database | PBE | relaxed; energy of formation = 0.05 eV per atom
1.0
6.1494 -0.0831 0.0906
5.1507 3.3600 0.0866
0.9987 0.2926 3.4306
Cd Ir Sr
1 1 1
direct
0.9628 0.9628 0.0372
0.3566 0.3566 0.6434
0.6806 0.6806 0.3194

SrCdIr2 | the Alexandria database | PBE | relaxed; energy of formation = 0.39 eV per atom
1.0
-2.6690 -0.8041 1.4973
2.6035 -0.4840 4.3810
-0.8260 4.6028 0.9994
Cd Ir Sr
1 2 1
direct
0.0000 0.5000 0.5000
0.0000 0.0000 0.0000
0.5000 0.5000 0.0000
0.5000 0.0000 0.5000

SrCdIr | the Alexandria database | PBE | relaxed; energy of formation = -0.22 eV per atom
1.0
4.4880 -0.0987 0.3465
0.1299 5.8081 -0.0062
1.8064 1.6225 6.3504
Sr Cd Ir
2 2 2
direct
0.3768 0.6839 0.7458
0.6232 0.3161 0.2542
0.0889 0.7288 0.3220
0.9111 0.2712 0.6780
0.7214 0.9123 0.0574
0.2786 0.0877 0.9426

SrCdIr2 | the Alexandria database | PBE | relaxed; energy of formation = 0.35 eV per atom
1.0
-0.0401 2.4193 4.6290
3.7242 -3.6616 0.0701
1.9919 2.0062 -1.0312
Cd Ir Sr
1 2 1
direct
0.0000 0.5000 0.5000
0.0000 0.0000 0.0000
0.5000 0.5000 0.0000
0.5000 0.0000 0.5000

Sr4CdIr | the Alexandria database | PBE | relaxed; energy of formation = -0.22 eV per atom; relative energy among the computed polymorphs = 0.00 eV/f.u.
1.0
6.7438 -0.3923 0.0000
-2.2168 9.0827 0.0000
-2.2635 -4.3452 7.2567
Sr Cd Ir
8 2 2
direct
0.0472 0.2081 0.8604
0.7906 0.7256 0.6685
0.3132 0.6523 0.8604
0.3780 0.9429 0.6685
0.6220 0.0571 0.3315
0.6868 0.3477 0.1396
0.2094 0.2744 0.3315
0.9528 0.7919 0.1396
0.3794 0.6294 0.2587
0.6206 0.3706 0.7413
0.2497 0.9997 0.9994
0.7503 0.0003 0.0006

Sr5Cd2Ir2 | the Alexandria database | PBE | relaxed; energy of formation = -0.20 eV per atom
1.0
-4.2898 0.7141 6.8658
3.7782 -6.5644 3.0434
4.1129 5.5224 6.8056
Sr Cd Ir
10 4 4
direct
0.0000 0.0000 0.0000
0.5000 0.5000 0.0000
0.4418 0.1756 0.7653
0.7929 0.8244 0.7653
0.2929 0.6756 0.7653
0.9418 0.3244 0.7653
0.5582 0.8244 0.2347
0.2071 0.1756 0.2347
0.7071 0.3244 0.2347
0.0582 0.6756 0.2347
0.2189 0.0000 0.5622
0.7189 0.5000 0.5622
0.7811 0.0000 0.4378
0.2811 0.5000 0.4378
0.1117 0.3874 0.0000
0.8883 0.6126 0.0000
0.3883 0.8874 0.0000
0.6117 0.1126 0.0000